[1]
The following is a DFT calculation (PBE-GGA) of CeThSi4 after structural relaxation.

Computed properties:
The calculation puts the density of states at the Fermi level at 0.789 states/eV/atom. The calculation puts the total DFT energy (no corrections) at -6.481 eV per atom. The spin magnetization is 0.0 Bohr magnetons per cell. For the uncorrected formation energy, the calculation gives -0.6396 eV/atom. Its energy above the most stable polymorph in this dataset is 0.000 eV per atom.

Cell lengths 4.114, 7.061, 8.298 Å; angles 90.00, 90.00, 90.00 degrees
Space group Immm (No. 71)
Inequivalent atoms, fractional coordinates:
Ce (0.000, 0.000, 0.000) x2
Th (0.000, 0.000, 0.500) x2
Si (0.000, 0.333, 0.251) x8

[2]
The following is a DFT calculation (PBE-GGA) of CeThSi2 after structural relaxation.

Computed properties:
The calculation puts the density of states at the Fermi level at 1.808 states/eV/atom. The calculation puts the total DFT energy (no corrections) at -6.707 eV per atom. The spin magnetization is 1.4 Bohr magnetons per cell. For the uncorrected formation energy, the calculation gives -0.6575 eV/atom. Its energy above the most stable polymorph in this dataset is 0.000 eV per atom.

Cell lengths 3.976, 4.397, 10.852 Å; angles 90.00, 90.00, 90.00 degrees
Space group Amm2 (No. 38)
Inequivalent atoms, fractional coordinates:
Ce (0.000, 0.000, 0.000) x2
Th (0.500, 0.000, 0.280) x2
Si (0.000, 0.000, 0.712) x2
Si (0.500, 0.000, 0.565) x2

[3]
The following is a DFT calculation (PBE-GGA) of Ce2ThSi4 after structural relaxation.

Computed properties:
The calculation puts the density of states at the Fermi level at 1.546 states/eV/atom. The calculation puts the total DFT energy (no corrections) at -6.534 eV per atom. The spin magnetization is 2.9 Bohr magnetons per cell. For the uncorrected formation energy, the calculation gives -0.6799 eV/atom.

Cell lengths 3.978, 4.350, 17.789 Å; angles 90.00, 90.00, 90.00 degrees
Space group Immm (No. 71)
Inequivalent atoms, fractional coordinates:
Ce (0.000, 0.000, 0.182) x4
Th (0.000, 0.500, 0.500) x2
Si (0.000, 0.000, 0.355) x4
Si (0.000, 0.500, 0.066) x4